# La8Cu2Ni | the Alexandria database | PBE-GGA | optimized geometry
data_La8Cu2Ni
_chemical_formula_sum 'La8 Cu2 Ni1'
_symmetry_space_group_name_H-M 'P 1'
_symmetry_Int_Tables_number 1
_symmetry_space_group_name_Hall 'P 1'
_cell_length_a 9.699
_cell_length_b 9.699
_cell_length_c 6.949
_cell_angle_alpha 107.44
_cell_angle_beta 107.44
_cell_angle_gamma 31.10
loop_
_atom_site_label
_atom_site_fract_x
_atom_site_fract_y
_atom_site_fract_z
La1 0.024 0.024 0.299
La2 0.200 0.200 0.843
La3 0.331 0.331 0.500
La4 0.412 0.412 0.042
La5 0.588 0.588 0.958
La6 0.669 0.669 0.500
La7 0.800 0.800 0.157
La8 0.976 0.976 0.701
Cu1 0.173 0.173 0.238
Cu2 0.827 0.827 0.762
Ni1 0.500 0.500 0.500
# - Magnetization: 0.00 μB/f.u.
# - Offset from the most stable computed form: 0.0 kJ/mol of formula units
# - Energy relative to the elements: -0.09 eV/atom

# Fe6Ni3Ir | the Alexandria database | PBE-GGA | optimized geometry
data_Fe6Ni3Ir
_chemical_formula_sum 'Fe12 Ni6 Ir2'
_symmetry_space_group_name_H-M 'P 1'
_symmetry_Int_Tables_number 1
_symmetry_space_group_name_Hall 'P 1'
_cell_length_a 6.399
_cell_length_b 6.399
_cell_length_c 6.399
_cell_angle_alpha 102.02
_cell_angle_beta 102.02
_cell_angle_gamma 102.02
loop_
_atom_site_label
_atom_site_fract_x
_atom_site_fract_y
_atom_site_fract_z
Fe1 0.000 0.263 0.737
Fe2 0.000 0.737 0.263
Fe3 0.171 0.603 0.603
Fe4 0.263 0.000 0.737
Fe5 0.263 0.737 0.000
Fe6 0.397 0.397 0.829
Fe7 0.397 0.829 0.397
Fe8 0.603 0.171 0.603
Fe9 0.603 0.603 0.171
Fe10 0.737 0.000 0.263
Fe11 0.737 0.263 0.000
Fe12 0.829 0.397 0.397
Ni1 0.164 0.164 0.424
Ni2 0.164 0.424 0.164
Ni3 0.424 0.164 0.164
Ni4 0.576 0.836 0.836
Ni5 0.836 0.576 0.836
Ni6 0.836 0.836 0.576
Ir1 0.000 0.000 0.000
Ir2 0.500 0.500 0.500
# - Magnetization: 17.97 μB/f.u.
# - Energy relative to the elements: 0.10 eV/atom

# ZrOsBr2 | the Alexandria database | PBE-GGA | optimized geometry
data_ZrOsBr2
_chemical_formula_sum 'Zr1 Os1 Br2'
_symmetry_space_group_name_H-M 'P 1'
_symmetry_Int_Tables_number 1
_symmetry_space_group_name_Hall 'P 1'
_cell_length_a 5.417
_cell_length_b 5.417
_cell_length_c 4.283
_cell_angle_alpha 112.74
_cell_angle_beta 112.74
_cell_angle_gamma 112.57
loop_
_atom_site_label
_atom_site_fract_x
_atom_site_fract_y
_atom_site_fract_z
Zr1 0.000 0.000 0.000
Os1 0.500 0.500 0.000
Br1 0.000 0.500 0.500
Br2 0.500 0.000 0.500
# - Energy relative to the elements, uncorrected: 0.387 eV per atom
# - Magnetization: 0.00 μB/f.u.
# - Offset from the most stable computed form: 246.0 kJ/mol of formula units